# 1
MgMnAuC | PBE | optimized geometry

Summary:
DFT formation energy   0.0374 eV per atom
Offset from the most stable computed form   0.9 meV per atom
SG   R3m

The structure in POSCAR format:
```
MgMnAuC
1.0
1.5246 0.8802 6.7339
-1.5246 0.8802 6.7339
0.0000 -1.7605 6.7339
Mg Mn Au C
1 1 1 1
Direct
0.0000 0.0000 0.0000
0.7783 0.7783 0.7783
0.2234 0.2234 0.2234
0.4057 0.4057 0.4057
```

# 2
MgMnAuC | PBE | optimized geometry

Summary:
DFT formation energy   0.1619 eV per atom
Offset from the most stable computed form   125.4 meV per atom
SG   Amm2

The structure in POSCAR format:
```
MgMnAuC
1.0
2.7903 0.0000 0.0000
0.0000 1.3852 6.6413
0.0000 -1.3852 6.6413
Mg Mn Au C
1 1 1 1
Direct
0.0000 0.0000 0.0000
0.0000 0.6767 0.6767
0.5000 0.3487 0.3487
0.5000 0.1472 0.1472
```

# 3
MgMnAuC | PBE | optimized geometry

Summary:
DFT formation energy   0.3490 eV per atom
Offset from the most stable computed form   312.4 meV per atom
SG   Amm2

The structure in POSCAR format:
```
MgMnAuC
1.0
3.7251 0.0000 0.0000
0.0000 2.1913 3.7807
0.0000 -2.1913 3.7807
Mg Mn Au C
1 1 1 1
Direct
0.0000 0.0000 0.0000
0.5000 0.6666 0.6666
0.5000 0.3328 0.3328
0.0000 0.6666 0.6666
```

# 4
MgNiAu2C | PBE | optimized geometry

Summary:
DFT formation energy   1.6347 eV per atom
SG   P4/mmm

The structure in POSCAR format:
```
MgNiAu2C
1.0
4.7254 0.0000 0.0000
0.0000 4.7254 0.0000
0.0000 0.0000 4.6144
Mg Ni Au C
1 1 2 1
Direct
0.0000 0.0000 0.0000
0.0000 0.0000 0.5000
0.0000 0.5000 0.5000
0.5000 0.0000 0.5000
0.5000 0.5000 0.0000
```

# 5
RbMg2AuC | PBE | optimized geometry

Summary:
DFT formation energy   2.1476 eV per atom
SG   P4/mmm

The structure in POSCAR format:
```
RbMg2AuC
1.0
7.6888 0.0000 0.0000
0.0000 7.6888 0.0000
0.0000 0.0000 6.2504
Rb Mg Au C
1 2 1 1
Direct
0.0000 0.0000 0.0000
0.0000 0.5000 0.0000
0.5000 0.0000 0.0000
0.0000 0.0000 0.5000
0.5000 0.5000 0.5000
```

# 6
Mg2RuAuC | PBE | optimized geometry

Summary:
DFT formation energy   1.2225 eV per atom
SG   P4/mmm

The structure in POSCAR format:
```
Mg2RuAuC
1.0
5.1076 0.0000 0.0000
0.0000 5.1076 0.0000
0.0000 0.0000 3.8156
Mg Ru Au C
2 1 1 1
Direct
0.0000 0.5000 0.0000
0.5000 0.0000 0.0000
0.0000 0.0000 0.5000
0.5000 0.5000 0.0000
0.5000 0.5000 0.5000
```

# 7
Mg2ScAuC | PBE | optimized geometry

Summary:
DFT formation energy   -0.3021 eV per atom
SG   P4/mmm

The structure in POSCAR format:
```
Mg2ScAuC
1.0
4.3531 0.0000 0.0000
0.0000 4.3531 0.0000
0.0000 0.0000 4.5068
Mg Sc Au C
2 1 1 1
Direct
0.0000 0.5000 0.0000
0.5000 0.0000 0.0000
0.0000 0.0000 0.5000
0.5000 0.5000 0.5000
0.0000 0.0000 0.0000
```

# 8
Mg2SnAuC | PBE | optimized geometry

Summary:
DFT formation energy   1.4884 eV per atom
SG   P4/mmm

The structure in POSCAR format:
```
Mg2SnAuC
1.0
5.4415 0.0000 0.0000
0.0000 5.4415 0.0000
0.0000 0.0000 5.1411
Mg Sn Au C
2 1 1 1
Direct
0.0000 0.5000 0.0000
0.5000 0.0000 0.0000
0.0000 0.0000 0.0000
0.0000 0.0000 0.5000
0.5000 0.5000 0.5000
```

# 9
MgTi2AuC | PBE | optimized geometry

Summary:
DFT formation energy   -0.3784 eV per atom
SG   P4/mmm

The structure in POSCAR format:
```
MgTi2AuC
1.0
4.1802 0.0000 0.0000
0.0000 4.1802 0.0000
0.0000 0.0000 4.3366
Mg Ti Au C
1 2 1 1
Direct
0.0000 0.0000 0.0000
0.0000 0.5000 0.5000
0.5000 0.0000 0.5000
0.5000 0.5000 0.0000
0.0000 0.0000 0.5000
```

# 10
MgWAuC2 | PBE | optimized geometry

Summary:
DFT formation energy   1.1086 eV per atom
Offset from the most stable computed form   0.0 meV per atom
SG   P4/mmm

The structure in POSCAR format:
```
MgWAuC2
1.0
4.0647 0.0000 0.0000
0.0000 4.0647 0.0000
0.0000 0.0000 5.2633
Mg W Au C
1 1 1 2
Direct
0.0000 0.0000 0.0000
0.5000 0.5000 0.5000
0.5000 0.5000 0.0000
0.0000 0.5000 0.5000
0.5000 0.0000 0.5000
```

# 11
MgWAuC2 | PBE | optimized geometry

Summary:
DFT formation energy   2.7458 eV per atom
Offset from the most stable computed form   1637.1 meV per atom
SG   P4/mmm

The structure in POSCAR format:
```
MgWAuC2
1.0
4.0394 0.0000 0.0000
0.0000 4.0394 0.0000
0.0000 0.0000 5.4086
Mg W Au C
1 1 1 2
Direct
0.0000 0.0000 0.0000
0.5000 0.5000 0.0000
0.5000 0.5000 0.5000
0.0000 0.5000 0.5000
0.5000 0.0000 0.5000
```

# 12
YMgAuC2 | PBE | optimized geometry

Summary:
DFT formation energy   1.6699 eV per atom
SG   P4/mmm

The structure in POSCAR format:
```
YMgAuC2
1.0
4.3919 0.0000 0.0000
0.0000 4.3919 0.0000
0.0000 0.0000 4.6493
Y Mg Au C
1 1 1 2
Direct
0.0000 0.0000 0.0000
0.5000 0.5000 0.0000
0.5000 0.5000 0.5000
0.0000 0.5000 0.5000
0.5000 0.0000 0.5000
```